# 1
Crystalline MgCI2N at its relaxed geometry, computed with PBE-GGA.

Geometry as extended XYZ:
```
5
Lattice="7.415 0.000 0.000 0.000 7.415 0.000 0.000 0.000 2.687" Properties=species:S:1:pos:R:3 pbc="T T T"
I 3.708 0.000 0.000
I 0.000 3.708 0.000
N 0.000 0.000 1.344
Mg 3.708 3.708 1.344
C 0.000 0.000 0.000
```

Output
* SG: P4/mmm, No. 123
* uncorrected formation energy: 0.856 eV/atom
* energy above the lowest structure with this stoichiometry: 0.0000 eV/atom

=====

# 2
Crystalline NbCo2Cl at its relaxed geometry, computed with PBE-GGA.

Geometry as extended XYZ:
```
4
Lattice="0.000 3.047 3.047 3.047 0.000 3.047 3.047 3.047 0.000" Properties=species:S:1:pos:R:3 pbc="T T T"
Co 1.524 1.524 1.524
Cl 0.000 0.000 0.000
Nb 3.047 3.047 3.047
Co 4.571 4.571 4.571
```

Output
* SG: Fm-3m, No. 225
* uncorrected formation energy: 0.727 eV/atom
* energy above the lowest structure with this stoichiometry: 0.1163 eV/atom

=====

# 3
Crystalline PrHo3Sc2Te6 at its relaxed geometry, computed with PBE-GGA.

Geometry as extended XYZ:
```
12
Lattice="-3.435 -1.823 -1.825 -2.172 -3.540 7.623 -2.786 9.145 1.164" Properties=species:S:1:pos:R:3 pbc="T T T"
Sc -2.188 1.515 2.604
Te -7.760 4.608 4.947
Ho -3.223 -0.369 6.434
Ho -5.169 4.151 0.528
Ho -2.803 -2.682 2.899
Sc -6.204 2.266 4.359
Te -3.505 1.625 -0.081
Te -3.875 3.929 3.370
Pr -1.717 -0.911 -0.912
Te -4.887 2.157 7.043
Te -0.632 -0.826 2.015
Te -4.517 -0.147 3.593
```

Output
* SG: C2/m, No. 12
* uncorrected formation energy: -1.219 eV/atom

=====

The highest uncorrected formation energy belongs to which entry? MgCI2N

=====

Which value of uncorrected formation energy does entry 1 give? 0.856 eV/atom